Record 1
Computed, not measured: crystalline InFe2Cl at its relaxed geometry at the GGA-PBE level of DFT.

## Properties
For the energy above the most stable polymorph in this dataset, the calculation gives 608 meV/atom. As for the uncorrected formation energy: 2.6 eV per formula unit. The calculation puts the density of states at the Fermi level at 5.3 states/eV/f.u. For the calculated volume, the calculation gives 70.9 Å³ per cell.

Lattice parameters (Å, degrees): 5.2960 5.2960 5.2960 135.91 135.91 64.12
Last column: magnetic moment on the atom in μB.
Sites, in units of the cell vectors:
Cl1 0.7500 0.2500 0.5000  0.13
Fe1 0.0000 0.0000 0.0000  2.88
Fe2 0.5000 0.5000 0.0000  2.88
In1 0.2500 0.7500 0.5000  -0.04

Record 2
Computed, not measured: crystalline InFeCl2 at its relaxed geometry at the GGA-PBE level of DFT.

## Properties
For the energy above the most stable polymorph in this dataset, the calculation gives 10 meV/atom. As for the uncorrected formation energy: -1.7 eV per formula unit. The calculation puts the density of states at the Fermi level at 3.2 states/eV/f.u. For the calculated volume, the calculation gives 92.4 Å³ per cell.

Lattice parameters (Å, degrees): 9.1258 9.1258 9.1258 21.87 21.87 21.87
Last column: magnetic moment on the atom in μB.
Sites, in units of the cell vectors:
Cl1 0.9714 0.9714 0.9714  0.10
Cl2 0.5286 0.5286 0.5286  0.10
Fe1 0.2500 0.2500 0.2500  3.30
In1 0.7500 0.7500 0.7500  -0.12

Record 3
Computed, not measured: crystalline InFeCl2 at its relaxed geometry at the GGA-PBE level of DFT.

## Properties
For the energy above the most stable polymorph in this dataset, the calculation gives 0 meV/atom. As for the uncorrected formation energy: -1.8 eV per formula unit. The calculation puts the density of states at the Fermi level at 2.1 states/eV/f.u. For the calculated volume, the calculation gives 91.8 Å³ per cell.

Lattice parameters (Å, degrees): 9.0767 9.0767 9.0767 21.97 21.97 21.97
Last column: magnetic moment on the atom in μB.
Sites, in units of the cell vectors:
Cl1 0.0225 0.0225 0.0225  -0.01
Cl2 0.2177 0.2177 0.2177  0.13
Fe1 0.5007 0.5007 0.5007  3.01
In1 0.7591 0.7591 0.7591  -0.04

Record 4
Computed, not measured: crystalline InFe2Cl at its relaxed geometry at the GGA-PBE level of DFT.

## Properties
For the energy above the most stable polymorph in this dataset, the calculation gives 500 meV/atom. As for the uncorrected formation energy: 2.2 eV per formula unit. The calculation puts the density of states at the Fermi level at 4.1 states/eV/f.u. For the calculated volume, the calculation gives 67.3 Å³ per cell.

Lattice parameters (Å, degrees): 3.0431 4.7019 4.7019 90.00 90.00 90.00
Last column: magnetic moment on the atom in μB.
Sites, in units of the cell vectors:
Cl1 0.5000 0.0000 0.5000  0.09
Fe1 0.0000 0.0000 0.0000  2.77
Fe2 0.0000 0.5000 0.5000  2.77
In1 0.5000 0.5000 0.0000  -0.14

Record 5
Computed, not measured: crystalline InFeCl2 at its relaxed geometry at the GGA-PBE level of DFT.

## Properties
For the energy above the most stable polymorph in this dataset, the calculation gives 196 meV/atom. As for the uncorrected formation energy: -1.0 eV per formula unit. The calculation puts the density of states at the Fermi level at 2.2 states/eV/f.u. For the calculated volume, the calculation gives 88.2 Å³ per cell.

Lattice parameters (Å, degrees): 3.2194 3.2194 8.5125 90.00 90.00 90.00
Last column: magnetic moment on the atom in μB.
Sites, in units of the cell vectors:
Cl1 0.0000 0.0000 0.9394  0.01
Cl2 0.5000 0.5000 0.3432  0.14
Fe1 0.0000 0.0000 0.4866  3.11
In1 0.5000 0.5000 0.7308  0.01

Record 6
Computed, not measured: crystalline InFe2Cl at its relaxed geometry at the GGA-PBE level of DFT.

## Properties
For the energy above the most stable polymorph in this dataset, the calculation gives 360 meV/atom. As for the uncorrected formation energy: 1.6 eV per formula unit. The calculation puts the density of states at the Fermi level at 4.7 states/eV/f.u. For the calculated volume, the calculation gives 65.5 Å³ per cell.

Lattice parameters (Å, degrees): 2.9635 2.9635 7.4613 90.00 90.00 90.00
Last column: magnetic moment on the atom in μB.
Sites, in units of the cell vectors:
Cl1 0.5000 0.5000 0.7500  0.14
Fe1 0.0000 0.0000 0.9818  2.84
Fe2 0.0000 0.0000 0.5182  2.84
In1 0.5000 0.5000 0.2500  -0.07